## ScP2F (GGA-PBE)

Data for ScP2F after structural relaxation.

a b c (Å): 6.289 6.289 6.289
angles (deg): 90.00 90.00 90.00
Sites, in units of the cell vectors:
Sc (0.000, 0.000, 0.000)
Sc (0.000, 0.500, 0.500)
Sc (0.500, 0.000, 0.500)
Sc (0.500, 0.500, 0.000)
P (0.250, 0.250, 0.250)
P (0.250, 0.250, 0.750)
P (0.250, 0.750, 0.250)
P (0.250, 0.750, 0.750)
P (0.750, 0.250, 0.250)
P (0.750, 0.250, 0.750)
P (0.750, 0.750, 0.250)
P (0.750, 0.750, 0.750)
F (0.000, 0.000, 0.500)
F (0.000, 0.500, 0.000)
F (0.500, 0.000, 0.000)
F (0.500, 0.500, 0.500)

Computed properties:
The calculation puts the total energy at -5.24 eV per atom. As for the crystal system: cubic. For the total magnetic moment, the calculation gives 0.00 μB/f.u.